# Mn3Rh2S8 | the Alexandria database | GGA-PBE | optimized geometry
# DFT total energy (eV per atom): -6.26
# E_form (uncorrected) (kJ/mol of atoms): -45.5
data_Mn3Rh2S8
_symmetry_space_group_name_H-M 'C 1 2/m 1'
_symmetry_Int_Tables_number 12
_cell_length_a 12.036
_cell_length_b 6.925
_cell_length_c 6.283
_cell_angle_alpha 90.00
_cell_angle_beta 109.35
_cell_angle_gamma 90.00
loop_
_symmetry_equiv_pos_as_xyz
'x,y,z'
'-x,-y,-z'
'-x,y,-z'
'x,-y,z'
'x+1/2,y+1/2,z'
'-x+1/2,-y+1/2,-z'
'-x+1/2,y+1/2,-z'
'x+1/2,-y+1/2,z'
loop_
_atom_site_label
_atom_site_fract_x
_atom_site_fract_y
_atom_site_fract_z
Mn1 0.000 0.000 0.000
Mn2 0.000 0.253 0.500
Rh1 0.249 0.500 0.483
S1 0.114 0.000 0.725
S2 0.122 0.500 0.707
S3 0.127 0.240 0.285


# Dy12HoTh6 | the Alexandria database | GGA-PBE | optimized geometry
# DFT total energy (eV per atom): -5.33
# Energy of formation from the pure elements (meV per atom): 160
data_Dy12HoTh6
_symmetry_space_group_name_H-M 'R -3 m'
_symmetry_Int_Tables_number 166
_symmetry_space_group_name_Hall '-R 3 2"'
_cell_length_a 13.0406
_cell_length_b 13.0406
_cell_length_c 12.8332
_cell_angle_alpha 90.00
_cell_angle_beta 90.00
_cell_angle_gamma 120.00
loop_
_atom_site_label
_atom_site_fract_x
_atom_site_fract_y
_atom_site_fract_z
Dy1 0.0000 0.2615 0.0000
Dy2 0.0527 0.5264 0.1142
Ho1 0.0000 0.0000 0.0000
Th1 0.0900 0.1800 0.7727


# AgTeH | the Alexandria database | GGA-PBE | optimized geometry
# DFT total energy (eV per atom): -2.96
# Energy above the most stable polymorph in this dataset (meV/atom): 166
data_AgTeH
_symmetry_space_group_name_H-M 'I 4 m m'
_symmetry_Int_Tables_number 107
_symmetry_space_group_name_Hall 'I 4 -2'
_cell_length_a 4.175
_cell_length_b 4.175
_cell_length_c 7.312
_cell_angle_alpha 90.00
_cell_angle_beta 90.00
_cell_angle_gamma 90.00
loop_
_atom_site_label
_atom_site_fract_x
_atom_site_fract_y
_atom_site_fract_z
Ag1 0.000 0.000 0.000
Te1 0.000 0.000 0.491
H1 0.000 0.000 0.729


# TlFe2Co | the Alexandria database | GGA-PBE | optimized geometry
# DFT total energy (eV per atom): -6.09
# Energy of formation from the pure elements (meV per atom): 509
data_TlFe2Co
_symmetry_space_group_name_H-M 'C m m m'
_symmetry_Int_Tables_number 65
_symmetry_space_group_name_Hall '-C 2 2'
_cell_length_a 5.384
_cell_length_b 7.230
_cell_length_c 2.988
_cell_angle_alpha 90.00
_cell_angle_beta 90.00
_cell_angle_gamma 90.00
loop_
_atom_site_label
_atom_site_fract_x
_atom_site_fract_y
_atom_site_fract_z
Tl1 0.000 0.000 0.000
Fe1 0.250 0.250 0.500
Co1 0.000 0.500 0.000


# Th2TaBe2N6 | the Alexandria database | GGA-PBE | optimized geometry
# DFT total energy (eV per atom): -8.66
# E_form (uncorrected) (kJ/mol of atoms): -98.0
data_Th2TaBe2N6
_symmetry_space_group_name_H-M 'R -3 m'
_symmetry_Int_Tables_number 166
_symmetry_space_group_name_Hall '-R 3 2"'
_cell_length_a 5.4706
_cell_length_b 5.4706
_cell_length_c 15.3817
_cell_angle_alpha 90.00
_cell_angle_beta 90.00
_cell_angle_gamma 120.00
loop_
_atom_site_label
_atom_site_fract_x
_atom_site_fract_y
_atom_site_fract_z
Th1 0.0000 0.0000 0.2177
Ta1 0.0000 0.0000 0.0000
Be1 0.0000 0.0000 0.4238
N1 0.0032 0.5016 0.7542


# FeP2 | the Alexandria database | GGA-PBE | optimized geometry
# DFT total energy (eV per atom): -6.62
# Energy of formation from the pure elements (meV per atom): -189
data_FeP2
_symmetry_space_group_name_H-M 'C 1 m 1'
_symmetry_Int_Tables_number 8
_cell_length_a 7.872
_cell_length_b 2.789
_cell_length_c 7.251
_cell_angle_alpha 90.00
_cell_angle_beta 91.89
_cell_angle_gamma 90.00
loop_
_symmetry_equiv_pos_as_xyz
'x,y,z'
'x,-y,z'
'x+1/2,y+1/2,z'
'x+1/2,-y+1/2,z'
loop_
_atom_site_label
_atom_site_fract_x
_atom_site_fract_y
_atom_site_fract_z
Fe1 0.000 0.000 0.000
Fe2 0.173 0.000 0.329
P1 0.223 0.500 0.574
P2 0.279 0.000 0.034
P3 0.461 0.000 0.289
P4 0.490 0.000 0.750


# FeCu4Se | the Alexandria database | GGA-PBE | optimized geometry
# DFT total energy (eV per atom): -4.40
# E_form (uncorrected) (kJ/mol of atoms): 30.8
data_FeCu4Se
_symmetry_space_group_name_H-M 'F -4 3 m'
_symmetry_Int_Tables_number 216
_symmetry_space_group_name_Hall 'F -4 2 3'
_cell_length_a 6.928
_cell_length_b 6.928
_cell_length_c 6.928
_cell_angle_alpha 90.00
_cell_angle_beta 90.00
_cell_angle_gamma 90.00
loop_
_atom_site_label
_atom_site_fract_x
_atom_site_fract_y
_atom_site_fract_z
Fe1 0.000 0.000 0.000
Cu1 0.126 0.126 0.374
Se1 0.250 0.250 0.750


# MnAg3 | the Alexandria database | GGA-PBE | optimized geometry
# DFT total energy (eV per atom): -4.22
# Energy of formation from the pure elements (meV per atom): 210
data_MnAg3
_symmetry_space_group_name_H-M 'I m m 2'
_symmetry_Int_Tables_number 44
_cell_length_a 3.041
_cell_length_b 9.406
_cell_length_c 4.856
_cell_angle_alpha 90.00
_cell_angle_beta 90.00
_cell_angle_gamma 90.00
loop_
_symmetry_equiv_pos_as_xyz
'x,y,z'
'-x,-y,z'
'-x,y,z'
'x,-y,z'
'x+1/2,y+1/2,z+1/2'
'-x+1/2,-y+1/2,z+1/2'
'-x+1/2,y+1/2,z+1/2'
'x+1/2,-y+1/2,z+1/2'
loop_
_atom_site_label
_atom_site_fract_x
_atom_site_fract_y
_atom_site_fract_z
Mn1 0.000 0.000 0.000
Ag1 0.000 0.255 0.630
Ag2 0.000 0.500 0.003


Computed values of volume (unit: Å³/cell) for the preceding records, in sequence: 494.2 1890.0 127.5 116.3 398.7 159.1 332.5 138.9.